! Hg3PbS, relaxed, DFT PBE; values from VASP
! Energy relative to the elements, uncorrected, meV per atom: 361
! N(E_F), states/eV/cell: 2.41
! E_tot, eV per cell: -6.9
&SYSTEM
  ibrav = 0, nat = 5, ntyp = 3
/
ATOMIC_SPECIES
Hg 200.59 Hg.upf
Pb 207.20 Pb.upf
S 32.06 S.upf
CELL_PARAMETERS angstrom
-2.819 -4.297 -1.298
1.997 0.173 -4.907
4.020 -3.098 1.527
ATOMIC_POSITIONS crystal
Hg 0.500 0.000 0.000
Hg 0.000 0.500 0.000
Hg 0.000 0.000 0.500
Pb 0.500 0.500 0.500
S 0.000 0.000 0.000